# 1
Entry from Alexandria: a relaxed LiAcCeSn crystal (PBE-GGA).

Output
For the calculated formation energy, the calculation gives -27.7 meV per atom. The theoretical density is 7041 kg/m³. Its space-group type is No. 216.

Cell lengths 5.478, 5.478, 5.478 Å; angles 60.00, 60.00, 60.00 degrees
Sites, in units of the cell vectors:
1 Ac 0.750 0.750 0.750
2 Sn 0.250 0.250 0.250
3 Ce 0.000 0.000 0.000
4 Li 0.500 0.500 0.500

# 2
Entry from Alexandria: a relaxed Li2AcCeSn2 crystal (PBE-GGA).

Output
For the calculated formation energy, the calculation gives -584.5 meV per atom. The theoretical density is 6291 kg/m³. Its space-group type is No. 164.

Cell lengths 4.867, 4.867, 7.958 Å; angles 90.00, 90.00, 120.00 degrees
Sites, in units of the cell vectors:
1 Li 0.333 0.667 0.702
2 Li 0.667 0.333 0.298
3 Ac 0.000 0.000 0.000
4 Ce 0.000 0.000 0.500
5 Sn 0.333 0.667 0.275
6 Sn 0.667 0.333 0.725

# 3
Entry from Alexandria: a relaxed LiAcCeTc crystal (PBE-GGA).

Output
For the calculated formation energy, the calculation gives 177.4 meV per atom. The theoretical density is 8043 kg/m³. Its space-group type is No. 216.

Cell lengths 5.166, 5.166, 5.166 Å; angles 60.00, 60.00, 60.00 degrees
Sites, in units of the cell vectors:
1 Ac 0.750 0.750 0.750
2 Tc 0.500 0.500 0.500
3 Ce 0.250 0.250 0.250
4 Li 0.000 0.000 0.000

# 4
Entry from Alexandria: a relaxed LiAc3Ce4Te8 crystal (PBE-GGA).

Output
The value obtained for the uncorrected formation energy is -132.7 kJ/mol of atoms. The theoretical density is 6889 kg/m³. Its space-group type is No. 166.

Cell lengths 9.109, 9.251, 9.109 Å; angles 119.49, 120.00, 90.00 degrees
Sites, in units of the cell vectors:
1 Li 0.000 0.500 0.000
2 Ac 0.500 0.500 0.000
3 Ac 0.500 0.500 0.500
4 Ac 0.000 0.500 0.500
5 Ce 0.500 0.000 0.000
6 Ce 0.500 0.000 0.500
7 Ce 0.000 0.000 0.000
8 Ce 0.000 0.000 0.500
9 Te 0.245 0.755 0.009
10 Te 0.245 0.755 0.490
11 Te 0.245 0.235 0.490
12 Te 0.764 0.755 0.009
13 Te 0.236 0.245 0.991
14 Te 0.755 0.765 0.510
15 Te 0.755 0.245 0.510
16 Te 0.755 0.245 0.991

# 5
Entry from Alexandria: a relaxed LiAcCe2Te4 crystal (PBE-GGA).

Output
The value obtained for the uncorrected formation energy is -128.1 kJ/mol of atoms. The theoretical density is 6374 kg/m³. Its space-group type is No. 10.

Cell lengths 4.534, 7.997, 7.797 Å; angles 70.78, 90.00, 90.00 degrees
Sites, in units of the cell vectors:
1 Li 0.500 0.500 0.000
2 Ac 0.000 0.500 0.500
3 Ce 0.000 0.000 0.000
4 Ce 0.500 0.000 0.500
5 Te 0.000 0.747 0.762
6 Te 0.000 0.253 0.238
7 Te 0.500 0.754 0.235
8 Te 0.500 0.246 0.765

# 6
Entry from Alexandria: a relaxed LiAc2Ce3Te6 crystal (PBE-GGA).

Output
The value obtained for the uncorrected formation energy is -131.3 kJ/mol of atoms. The theoretical density is 6755 kg/m³. Its space-group type is No. 12.

Cell lengths 7.871, 7.871, 8.001 Å; angles 99.53, 99.53, 120.04 degrees
Sites, in units of the cell vectors:
1 Li 0.000 0.000 0.000
2 Ac 0.335 0.665 0.000
3 Ac 0.665 0.335 0.000
4 Ce 0.173 0.827 0.500
5 Ce 0.827 0.173 0.500
6 Ce 0.500 0.500 0.500
7 Te 0.918 0.601 0.749
8 Te 0.769 0.769 0.259
9 Te 0.082 0.399 0.251
10 Te 0.601 0.918 0.749
11 Te 0.231 0.231 0.741
12 Te 0.399 0.082 0.251

# 7
Entry from Alexandria: a relaxed Li2AcCeTe4 crystal (PBE-GGA).

Output
The value obtained for the uncorrected formation energy is -123.4 kJ/mol of atoms. The theoretical density is 5694 kg/m³. Its space-group type is No. 10.

Cell lengths 4.594, 7.964, 7.584 Å; angles 110.46, 90.00, 90.00 degrees
Sites, in units of the cell vectors:
1 Li 0.500 0.000 0.500
2 Li 0.000 0.500 0.500
3 Ac 0.000 0.000 0.000
4 Ce 0.500 0.500 0.000
5 Te 0.500 0.266 0.269
6 Te 0.500 0.734 0.731
7 Te 0.000 0.255 0.737
8 Te 0.000 0.745 0.263

# 8
Entry from Alexandria: a relaxed Li2AcCeTl4 crystal (PBE-GGA).

Output
For the calculated formation energy, the calculation gives -282.5 meV per atom. The theoretical density is 8915 kg/m³. Its space-group type is No. 166.

Cell lengths 5.361, 5.361, 9.487 Å; angles 73.59, 73.59, 60.00 degrees
Sites, in units of the cell vectors:
1 Li 0.752 0.752 0.743
2 Li 0.248 0.248 0.257
3 Ac 0.000 0.000 0.000
4 Ce 0.500 0.500 0.500
5 Tl 0.381 0.381 0.857
6 Tl 0.873 0.873 0.381
7 Tl 0.127 0.127 0.619
8 Tl 0.619 0.619 0.143

# 9
Entry from Alexandria: a relaxed LiAcCeTl2 crystal (PBE-GGA).

Output
For the calculated formation energy, the calculation gives -155.8 meV per atom. The theoretical density is 8948 kg/m³. Its space-group type is No. 51.

Cell lengths 6.789, 5.972, 7.167 Å; angles 90.00, 90.00, 90.00 degrees
Sites, in units of the cell vectors:
1 Li 0.000 0.000 0.000
2 Li 0.000 0.500 0.000
3 Ac 0.269 0.250 0.500
4 Ac 0.731 0.750 0.500
5 Ce 0.577 0.750 0.000
6 Ce 0.423 0.250 0.000
7 Tl 0.787 0.250 0.731
8 Tl 0.787 0.250 0.269
9 Tl 0.213 0.750 0.731
10 Tl 0.213 0.750 0.269

# 10
Entry from Alexandria: a relaxed LiAcCe2Tl4 crystal (PBE-GGA).

Output
For the calculated formation energy, the calculation gives -238.6 meV per atom. The theoretical density is 9220 kg/m³. Its space-group type is No. 166.

Cell lengths 5.400, 5.400, 9.998 Å; angles 74.33, 74.33, 60.00 degrees
Sites, in units of the cell vectors:
1 Li 0.500 0.500 0.500
2 Ac 0.000 0.000 0.000
3 Ce 0.759 0.759 0.723
4 Ce 0.241 0.241 0.277
5 Tl 0.385 0.385 0.846
6 Tl 0.872 0.872 0.385
7 Tl 0.128 0.128 0.615
8 Tl 0.615 0.615 0.154

# 11
Entry from Alexandria: a relaxed Ac2CeLu crystal (PBE-GGA).

Output
For the calculated formation energy, the calculation gives 297.5 meV per atom. The theoretical density is 8439 kg/m³. Its space-group type is No. 166. Its excess energy over the best structure of this formula in the dataset is 170.5 meV per atom.

Cell lengths 3.672, 3.672, 13.130 Å; angles 81.96, 81.96, 60.00 degrees
Sites, in units of the cell vectors:
1 Ac 0.911 0.911 0.268
2 Ac 0.089 0.089 0.732
3 Lu 0.500 0.500 0.500
4 Ce 0.000 0.000 0.000

# 12
Entry from Alexandria: a relaxed AcCe4Lu crystal (PBE-GGA).

Output
For the calculated formation energy, the calculation gives 198.7 meV per atom. The theoretical density is 8605 kg/m³. Its space-group type is No. 216.

Cell lengths 6.404, 6.404, 6.404 Å; angles 60.00, 60.00, 60.00 degrees
Sites, in units of the cell vectors:
1 Ac 0.250 0.250 0.250
2 Lu 0.000 0.000 0.000
3 Ce 0.631 0.631 0.106
4 Ce 0.631 0.106 0.631
5 Ce 0.631 0.631 0.631
6 Ce 0.106 0.631 0.631

Total magnetization list, top to bottom, in Bohr magnetons per cell: 3.1, 0.8, 0.6, 5.6, 2.6, 4.0, 1.0, 1.0, 2.6, 2.1, 1.5, 3.7